Record 1
# EuTlCu PBE optimized geometry
data_EuTlCu
_space_group_name_H-M_alt 'P 1'
_space_group_IT_number 1
_cell_length_a 3.705
_cell_length_b 3.705
_cell_length_c 6.038
_cell_angle_alpha 107.87
_cell_angle_beta 107.87
_cell_angle_gamma 90.00
loop_
_space_group_symop_operation_xyz
'x,y,z'
loop_
_atom_site_label
_atom_site_fract_x
_atom_site_fract_y
_atom_site_fract_z
Tl1 0.643 0.643 0.287
Eu1 0.941 0.941 0.881
Cu1 0.266 0.266 0.532
# ΔH_f (0 K) ... -8 kJ per mole of atoms
# Space group ... I4mm (107)
# E_tot ... -5.66 eV/atom

Record 2
# La6TbNd8 PBE optimized geometry
data_La6TbNd8
_space_group_name_H-M_alt 'P 1'
_space_group_IT_number 1
_cell_length_a 9.375
_cell_length_b 9.375
_cell_length_c 8.937
_cell_angle_alpha 58.37
_cell_angle_beta 58.37
_cell_angle_gamma 60.00
loop_
_space_group_symop_operation_xyz
'x,y,z'
loop_
_atom_site_label
_atom_site_fract_x
_atom_site_fract_y
_atom_site_fract_z
La1 0.905 0.761 0.871
La2 0.761 0.462 0.871
La3 0.095 0.239 0.129
La4 0.239 0.538 0.129
La5 0.538 0.095 0.129
La6 0.462 0.905 0.871
Nd1 0.886 0.240 0.581
Nd2 0.423 0.423 0.732
Nd3 0.114 0.760 0.419
Nd4 0.240 0.293 0.581
Nd5 0.293 0.886 0.581
Nd6 0.760 0.707 0.419
Nd7 0.707 0.114 0.419
Nd8 0.577 0.577 0.268
Tb1 0.000 0.000 0.000
# ΔH_f (0 K) ... 10 kJ per mole of atoms
# Space group ... R-3 (148)
# E_tot ... -4.72 eV/atom